VASP calculation (PBE) on a relaxed structure of UBiTeO6.

The magnetization is 1.0 μB per formula unit. The energy relative to the elements, uncorrected comes out at -1861 meV/atom.

The structure belongs to space group P-31c (No. 163); the cell edges are 5.7782, 5.7782 and 9.7949 Å and the angles 90.00°, 90.00° and 120.00°. The distinct sites, in fractional coordinates, are U at (0.3333, 0.6667, 0.2500), Bi at (0.0000, 0.0000, 0.0000), Te at (0.3333, 0.6667, 0.7500) and O at (0.0046, 0.3530, 0.1360).